Density functional theory data (PBE) for a relaxed PrSm2Sn crystal.

Unit cell a=3.6260 b=6.5450 c=12.5270 alpha=115.33 beta=73.22 gamma=106.11
Sites, in units of the cell vectors:
Sm  0.7460  0.2608  0.8829
Sm  0.8168  0.8017  0.5863
Sm  0.2540  0.7392  0.1171
Sm  0.1832  0.1983  0.4137
Pr  0.9702  0.2495  0.1551
Pr  0.0298  0.7505  0.8449
Sn  0.5009  0.3123  0.6543
Sn  0.4991  0.6877  0.3457

* total moment: 0.0 μB/f.u.
* N(E_F): 1.028 states/eV/atom
* offset from the most stable computed form: 0.111 eV per atom
* DFT total energy: -4.89 eV per atom
* ΔH_f (0 K): -333 meV per atom